Below is a relaxed structure of TbHoNiRh, with properties calculated at the PBE level.

Cell and atoms, written as POSCAR:
```
TbHoNiRh
1.0
-3.634 -0.033 1.209
-0.591 -3.599 -1.875
3.298 -2.511 3.780
Rh Ho Tb Ni
1 1 1 1
Cartesian
1.246 -2.126 3.688
-1.048 -3.633 2.818
0.420 -0.716 1.242
-1.880 -2.213 0.355
```

Calculated values
Its space group is Amm2. As for the calculated volume: 83 Å³ per cell. The density of states at the Fermi level is 0.617 states/eV/atom. The calculation puts the energy of formation from the pure elements at -0.65 eV/atom.

Below is a relaxed structure of RbSn3As3, with properties calculated at the PBE level.

Cell and atoms, written as POSCAR:
```
RbSn3As3
1.0
-6.219 -1.525 4.687
4.787 -0.071 6.329
-1.174 7.788 0.975
As Rb Sn
6 2 6
Cartesian
-3.990 5.078 3.075
-2.271 -1.179 6.680
0.610 3.876 2.070
-3.403 1.185 2.588
3.003 3.841 5.234
0.839 -0.417 4.336
0.000 0.000 0.000
-1.303 3.096 5.996
2.100 1.911 3.408
-2.142 3.513 1.659
0.481 -0.815 7.090
-5.251 2.750 4.003
-1.913 -0.780 3.926
1.513 5.805 3.896
```

Calculated values
Its space group is Pm-3n. As for the calculated volume: 500 Å³ per cell. The density of states at the Fermi level is 0.692 states/eV/atom. The calculation puts the energy of formation from the pure elements at -0.07 eV/atom.

Below is a relaxed structure of Na3ZnOs, with properties calculated at the PBE level.

Cell and atoms, written as POSCAR:
```
Na3ZnOs
1.0
-0.162 -5.234 0.649
5.174 -0.032 1.034
-1.022 0.668 5.134
Na Os Zn
3 1 1
Cartesian
-0.081 -2.617 0.325
-0.511 0.334 2.567
2.587 -0.016 0.517
1.995 -2.299 3.409
0.000 0.000 0.000
```

Calculated values
Its space group is Pm-3m. As for the calculated volume: 147 Å³ per cell. The density of states at the Fermi level is 1.247 states/eV/atom. The calculation puts the energy of formation from the pure elements at 1.40 eV/atom.

Below is a relaxed structure of TaAl5, with properties calculated at the PBE level.

Cell and atoms, written as POSCAR:
```
TaAl5
1.0
-2.668 -1.079 4.571
-0.205 -2.638 4.710
2.476 4.323 4.600
Ta Al
1 5
Cartesian
1.549 3.066 6.939
-0.406 0.591 13.854
-1.198 -0.866 11.552
-1.083 -1.093 6.963
-0.267 0.404 9.293
-0.120 0.221 4.612
```

Calculated values
Its space group is Cm. As for the calculated volume: 99 Å³ per cell. The density of states at the Fermi level is 0.263 states/eV/atom. The calculation puts the energy of formation from the pure elements at -0.12 eV/atom.

Below is a relaxed structure of SrZnCr2, with properties calculated at the PBE level.

Cell and atoms, written as POSCAR:
```
SrZnCr2
1.0
-1.981 -1.774 -2.039
2.486 -2.189 -0.510
-2.474 -4.224 6.078
Cr Sr Zn
2 1 1
Cartesian
-1.406 -2.402 3.456
-2.304 -3.935 5.661
-0.366 -3.038 0.245
-1.602 -5.150 3.284
```

Calculated values
Its space group is P4/mmm. As for the calculated volume: 88 Å³ per cell. The density of states at the Fermi level is 0.736 states/eV/atom. The calculation puts the energy of formation from the pure elements at 0.69 eV/atom.

Below is a relaxed structure of RbLiLa2Ru, with properties calculated at the PBE level.

Cell and atoms, written as POSCAR:
```
RbLiLa2Ru
1.0
5.411 0.000 0.000
0.000 5.411 0.000
0.000 0.000 6.117
Rb La Ru Li
1 2 1 1
Cartesian
2.706 2.706 3.059
0.000 2.706 0.000
2.706 0.000 0.000
0.000 0.000 0.000
0.000 0.000 3.059
```

Calculated values
Its space group is P4/mmm. As for the calculated volume: 179 Å³ per cell. The density of states at the Fermi level is 0.843 states/eV/atom. The calculation puts the energy of formation from the pure elements at 0.09 eV/atom.

Below is a relaxed structure of KNa2CeCl6, with properties calculated at the PBE level.

Cell and atoms, written as POSCAR:
```
KNa2CeCl6
1.0
-6.725 2.798 0.473
-5.212 -3.615 3.610
-2.296 2.837 6.904
Na Cl Ce K
2 6 1 1
Cartesian
-7.216 0.828 5.168
-2.346 2.744 6.739
-5.808 1.476 2.785
-6.984 -2.005 5.095
-7.377 3.617 6.123
-7.980 0.582 8.009
-4.690 1.241 6.640
-9.885 1.106 4.231
-3.917 -0.158 1.565
-10.960 0.988 7.300
```

Calculated values
Its space group is R3. As for the calculated volume: 303 Å³ per cell. The density of states at the Fermi level is 0.826 states/eV/atom. Its uncorrected formation energy is -2005.5 meV per atom.

Below is a relaxed structure of HfPaCu2, with properties calculated at the PBE level.

Cell and atoms, written as POSCAR:
```
HfPaCu2
1.0
-3.373 1.045 1.847
-2.189 -0.652 -3.628
-0.649 -4.085 1.126
Hf Cu Pa
1 2 1
Cartesian
-1.687 0.523 0.924
-1.094 -0.326 -1.814
-0.325 -2.043 0.563
-3.106 -1.846 -0.327
```

Calculated values
Its space group is P4/mmm. As for the calculated volume: 73 Å³ per cell. The density of states at the Fermi level is 1.257 states/eV/atom. The calculation puts the energy of formation from the pure elements at 0.10 eV/atom.

Below is a relaxed structure of SiNi2Br, with properties calculated at the PBE level.

Cell and atoms, written as POSCAR:
```
SiNi2Br
1.0
-5.964 -0.122 -2.073
-5.224 -3.329 -1.231
-1.533 0.374 2.771
Si Ni Br
1 2 1
Cartesian
-6.117 -1.351 0.234
-0.192 0.034 0.299
-10.453 -2.615 -0.769
-2.320 -0.684 -0.564
```

Calculated values
Its space group is Cm. As for the calculated volume: 65 Å³ per cell. The density of states at the Fermi level is 0.425 states/eV/atom. Its uncorrected formation energy is -100.9 meV per atom.

Below is a relaxed structure of CdTe2RuN, with properties calculated at the PBE level.

Cell and atoms, written as POSCAR:
```
CdTe2RuN
1.0
5.551 0.000 0.000
0.000 3.656 0.000
0.000 0.000 5.551
Cd N Ru Te
1 1 1 2
Cartesian
2.776 1.828 2.776
0.000 1.828 0.000
0.000 0.000 0.000
0.000 0.000 2.776
2.776 0.000 0.000
```

Calculated values
Its space group is P4/mmm. As for the calculated volume: 113 Å³ per cell. The density of states at the Fermi level is 0.630 states/eV/atom. Its uncorrected formation energy is 233.0 meV per atom.

Below is a relaxed structure of Nd2SbCl2, with properties calculated at the PBE level.

Cell and atoms, written as POSCAR:
```
Nd2SbCl2
1.0
4.327 0.000 0.000
2.164 3.747 0.000
2.164 1.249 10.318
Cl Nd Sb
2 2 1
Cartesian
6.491 3.747 6.919
2.164 1.249 3.399
4.327 2.498 1.834
4.327 2.498 8.484
0.000 0.000 0.000
```

Calculated values
Its space group is R-3m. As for the calculated volume: 167 Å³ per cell. The density of states at the Fermi level is 0.419 states/eV/atom. Its uncorrected formation energy is -1692.4 meV per atom.

Below is a relaxed structure of Ca2CdC, with properties calculated at the PBE level.

Cell and atoms, written as POSCAR:
```
Ca2CdC
1.0
7.613 0.000 0.000
0.000 7.613 0.000
3.806 3.806 3.625
Ca Cd C
4 2 2
Cartesian
5.710 6.461 2.719
9.516 8.765 2.719
4.958 1.903 0.906
2.655 5.710 0.906
7.613 3.806 1.812
0.000 0.000 0.000
3.806 7.613 1.812
3.806 3.806 0.000
```

Calculated values
Its space group is I-42d. As for the calculated volume: 210 Å³ per cell. The density of states at the Fermi level is 0.110 states/eV/atom. The calculation puts the energy of formation from the pure elements at 0.43 eV/atom.

Below is a relaxed structure of KMnSi2, with properties calculated at the PBE level.

Cell and atoms, written as POSCAR:
```
KMnSi2
1.0
-1.476 -2.447 2.612
2.513 -1.009 0.475
1.048 5.145 5.413
Mn Si K
1 2 1
Cartesian
1.791 2.851 6.553
1.272 4.573 5.003
-0.243 -0.455 2.306
2.091 1.935 2.994
```

Calculated values
Its space group is Pmm2. As for the calculated volume: 80 Å³ per cell. The density of states at the Fermi level is 0.667 states/eV/atom. Its uncorrected formation energy is 176.8 meV per atom.

Below is a relaxed structure of BaSr4As, with properties calculated at the PBE level.

Cell and atoms, written as POSCAR:
```
BaSr4As
1.0
0.000 5.274 5.274
5.274 0.000 5.274
5.274 5.274 0.000
Ba As Sr
1 1 4
Cartesian
0.000 0.000 0.000
7.912 7.912 7.912
3.965 3.965 3.965
6.584 6.584 3.965
3.965 6.584 6.584
6.584 3.965 6.584
```

Calculated values
Its space group is F-43m. As for the calculated volume: 293 Å³ per cell. The density of states at the Fermi level is 1.210 states/eV/atom. The calculation puts the energy of formation from the pure elements at 0.27 eV/atom.

Below is a relaxed structure of CsGaPb, with properties calculated at the PBE level.

Cell and atoms, written as POSCAR:
```
CsGaPb
1.0
12.046 0.000 0.000
0.000 4.489 0.000
0.000 0.000 10.283
Ga Cs Pb
4 4 4
Cartesian
5.517 1.122 7.393
6.529 3.367 2.890
11.540 1.122 8.032
0.506 3.367 2.252
9.900 1.122 4.369
2.145 3.367 5.914
3.877 1.122 0.773
8.168 3.367 9.511
0.958 3.367 9.703
5.065 1.122 4.561
6.980 3.367 5.722
11.088 1.122 0.580
```

Calculated values
Its space group is Pnma. As for the calculated volume: 556 Å³ per cell. The density of states at the Fermi level is 0.080 states/eV/atom. The calculation puts the energy of formation from the pure elements at -0.02 eV/atom.

Below is a relaxed structure of Rb3Sb2Cl9, with properties calculated at the PBE level.

Cell and atoms, written as POSCAR:
```
Rb3Sb2Cl9
1.0
-6.458 -2.395 7.044
-4.948 -6.923 -4.965
4.712 -7.883 3.565
Cl Sb Rb
18 4 6
Cartesian
-3.336 -13.068 5.720
-4.757 -13.690 2.139
-2.548 -7.835 0.312
-8.939 -8.718 1.042
-6.968 -11.944 4.839
-1.123 -7.271 3.720
0.274 -5.257 0.804
-4.609 -6.168 2.947
-2.086 -11.032 2.697
2.244 -8.483 4.601
-3.358 -4.133 -0.076
-5.571 -9.930 1.923
-4.146 -9.366 5.331
-6.753 -4.672 5.544
-2.747 -8.628 8.660
0.059 -12.529 0.099
-1.937 -3.511 3.505
-3.947 -8.573 -3.016
-1.036 -2.663 0.874
-4.384 -11.263 3.695
-2.311 -5.938 1.948
-5.658 -14.538 4.770
-7.637 -8.177 4.523
0.943 -9.024 1.120
-0.619 -10.387 6.114
-3.235 -5.664 6.405
-3.459 -11.537 -0.762
-6.076 -6.814 -0.471
```

Calculated values
Its space group is R-3c. As for the calculated volume: 930 Å³ per cell. The density of states at the Fermi level is 0.000 states/eV/atom. Its uncorrected formation energy is -1367.4 meV per atom.

Below is a relaxed structure of CrRu3, with properties calculated at the PBE level.

Cell and atoms, written as POSCAR:
```
CrRu3
1.0
-0.750 0.145 -2.590
1.374 -2.147 0.890
-7.317 -3.893 1.901
Ru Cr
3 1
Cartesian
-4.875 -4.332 1.170
-3.658 -1.947 0.951
-1.110 -2.328 0.191
0.000 0.000 0.000
```

Calculated values
Its space group is P-6m2. As for the calculated volume: 54 Å³ per cell. The density of states at the Fermi level is 0.780 states/eV/atom. The calculation puts the energy of formation from the pure elements at 0.05 eV/atom.

Below is a relaxed structure of Li2MgZn2Rh2, with properties calculated at the PBE level.

Cell and atoms, written as POSCAR:
```
Li2MgZn2Rh2
1.0
4.321 0.000 0.000
-2.161 3.492 -1.269
0.000 -2.241 7.968
Mg Li Zn Rh
1 2 2 2
Cartesian
0.000 -1.120 3.984
0.000 0.479 1.239
2.161 0.772 5.460
0.000 1.779 4.619
2.161 -0.528 2.080
0.000 -0.190 6.421
2.161 1.441 0.278
```

Calculated values
Its space group is C2/m. As for the calculated volume: 108 Å³ per cell. The density of states at the Fermi level is 0.323 states/eV/atom. The calculation puts the energy of formation from the pure elements at -0.24 eV/atom.

Below is a relaxed structure of Sr2AlSn4Hg3, with properties calculated at the PBE level.

Cell and atoms, written as POSCAR:
```
Sr2AlSn4Hg3
1.0
4.902 0.000 0.000
0.000 4.902 0.000
0.000 0.000 12.013
Hg Sn Al Sr
3 4 1 2
Cartesian
0.000 2.451 1.706
0.000 0.000 6.007
2.451 0.000 10.307
0.000 0.000 0.000
2.451 0.000 7.521
0.000 2.451 4.492
2.451 2.451 0.000
2.451 2.451 6.007
2.451 0.000 3.054
0.000 2.451 8.959
```

Calculated values
Its space group is P-4m2. As for the calculated volume: 289 Å³ per cell. The density of states at the Fermi level is 0.339 states/eV/atom. The calculation puts the energy of formation from the pure elements at -0.27 eV/atom.

Below is a relaxed structure of KRePb2, with properties calculated at the PBE level.

Cell and atoms, written as POSCAR:
```
KRePb2
1.0
-5.222 1.432 4.217
2.213 -4.805 4.372
2.881 3.632 7.919
Re K Pb
2 2 4
Cartesian
0.000 0.000 0.000
-1.923 1.689 8.215
-1.505 -1.686 4.295
1.795 -1.430 8.293
-2.465 -0.842 8.402
0.479 2.661 8.067
-2.132 3.376 10.176
-3.573 1.561 6.216
```

Calculated values
Its space group is I4_1/amd. As for the calculated volume: 367 Å³ per cell. The density of states at the Fermi level is 0.017 states/eV/atom. The calculation puts the energy of formation from the pure elements at 0.77 eV/atom.

Below is a relaxed structure of Be4AgSb3O12, with properties calculated at the PBE level.

Cell and atoms, written as POSCAR:
```
Be4AgSb3O12
1.0
-3.317 -5.448 0.519
6.117 -1.653 0.899
-1.594 3.446 5.152
O Sb Ag Be
12 3 1 4
Cartesian
-0.038 1.492 5.498
-0.578 -1.047 3.936
2.048 -1.247 3.343
-2.492 0.219 4.992
-0.088 -5.398 1.425
-3.415 -2.066 3.642
-2.426 -4.425 2.644
4.390 -0.304 3.437
0.339 -3.190 2.575
2.532 1.497 4.533
2.591 -4.606 1.126
4.376 -2.859 2.267
0.919 -3.744 0.690
2.654 0.637 2.809
-2.367 -0.548 3.071
0.000 0.000 0.000
4.003 -4.076 1.409
1.363 2.094 5.328
0.603 -1.828 3.285
-3.557 -3.502 3.117
```

Calculated values
Its space group is R32. As for the calculated volume: 228 Å³ per cell. Its uncorrected formation energy is -1739.5 meV per atom.

Below is a relaxed structure of Tl2SbPb, with properties calculated at the PBE level.

Cell and atoms, written as POSCAR:
```
Tl2SbPb
1.0
-1.853 1.264 3.404
2.646 -2.147 2.237
4.636 6.015 0.291
Tl Sb Pb
2 1 1
Cartesian
4.546 5.899 0.285
1.615 1.140 2.897
3.773 3.939 3.033
2.448 3.177 0.154
```

Calculated values
Its space group is P4mm. As for the calculated volume: 126 Å³ per cell. The density of states at the Fermi level is 0.399 states/eV/atom. Its uncorrected formation energy is 0.7 meV per atom.

Below is a relaxed structure of CdAgI, with properties calculated at the PBE level.

Cell and atoms, written as POSCAR:
```
CdAgI
1.0
-1.506 -5.174 3.642
0.043 -2.421 -3.422
13.071 1.931 -1.204
I Ag Cd
4 4 4
Cartesian
8.374 -2.345 1.764
9.747 -1.142 -1.638
1.860 -4.522 0.655
3.191 -0.898 0.675
7.914 0.978 -0.594
3.651 -4.221 3.032
1.400 -1.198 -1.702
10.208 -4.466 0.719
-0.158 -1.473 1.041
11.723 -1.769 1.398
6.398 -1.718 -1.272
5.209 -3.946 0.289
```

Calculated values
Its space group is C2/m. As for the calculated volume: 332 Å³ per cell. The density of states at the Fermi level is 0.191 states/eV/atom. Its uncorrected formation energy is -59.9 meV per atom.

| no. | total magnetic moment (μB per formula unit) |
| --- | --- |
| 1 | 0.00 |
| 2 | 0.00 |
| 3 | 2.28 |
| 4 | 0.00 |
| 5 | 8.17 |
| 6 | 0.00 |
| 7 | 1.00 |
| 8 | 0.00 |
| 9 | 0.00 |
| 10 | 0.00 |
| 11 | 0.00 |
| 12 | 0.00 |
| 13 | 1.53 |
| 14 | 0.01 |
| 15 | 0.00 |
| 16 | 0.00 |
| 17 | 0.00 |
| 18 | 0.00 |
| 19 | 0.00 |
| 20 | 0.00 |
| 21 | 0.00 |
| 22 | 0.00 |
| 23 | 0.00 |